First-principles (PBE+U) data for an optimized crystal structure of BaPaMnO6, as listed in Alexandria via LeMat-Bulk.

abc: 5.616 5.616 4.908
angles: 90.00 90.00 120.00
Positions (direct):
Ba 0.000 0.000 0.000
Pa 0.667 0.333 0.500
Mn 0.333 0.667 0.000
O 0.020 0.430 0.238
O 0.020 0.590 0.762
O 0.410 0.430 0.762
O 0.410 0.980 0.238
O 0.570 0.590 0.238
O 0.570 0.980 0.762

Results
The calculated density comes out at 6433 kg/m³. The calculation puts the volume at 134.0 Å³/cell. The calculation puts the total energy at -7.588 eV/atom. The total magnetic moment is 0.447 μB/atom.